Record 1
First-principles (PBE) data for a geometry-optimized NiP2Os structure, as listed in Alexandria.

## Properties
Energy relative to the lowest polymorph listed for this composition ... 325 meV/atom

a = 2.9619 Å, b = 2.9619 Å, c = 5.7120 Å
α = 90.00°, β = 90.00°, γ = 90.00°
Fractional positions:
P1 0.0000 0.0000 0.4905
Os1 0.5000 0.5000 0.7500
P2 0.0000 0.0000 0.0095
Ni1 0.5000 0.5000 0.2500


Record 2
First-principles (PBE) data for a geometry-optimized NiP2Os structure, as listed in Alexandria.

## Properties
Energy relative to the lowest polymorph listed for this composition ... 209 meV/atom

a = 6.4994 Å, b = 6.4994 Å, c = 6.4994 Å
α = 153.92°, β = 153.25°, γ = 37.71°
Fractional positions:
Os1 0.2031 0.7031 0.5000
P1 0.8006 0.3006 0.5000
P2 0.0419 0.0419 0.0000
Ni1 0.4545 0.4545 0.0000


Sequential formation energy from the elements output: 61; -56 meV per atom